# 1
MgBe2PRh | GGA-PBE | optimized geometry

The structure in CIF format:
```
data_MgBe2PRh
_cell_length_a 4.307
_cell_length_b 4.307
_cell_length_c 4.466
_cell_angle_alpha 90.00
_cell_angle_beta 90.00
_cell_angle_gamma 90.00
_space_group_name_H-M_alt 'P 4/m m m'
_space_group_IT_number 123
_space_group_name_Hall '-P 4 2'
loop_
_atom_site_label
_atom_site_fract_x
_atom_site_fract_y
_atom_site_fract_z
Mg1 0.000 0.000 0.000
Be1 0.000 0.500 0.000
P1 0.000 0.000 0.500
Rh1 0.500 0.500 0.500
```

## Properties
The value obtained for the total energy is -2.91 eV per atom. The value obtained for the energy of formation is 1.449 eV per atom. The total magnetic moment is 0.0 μB per formula unit. As for the density: 3.5 Mg/m³.

---

# 2
YTm2Au | GGA-PBE | optimized geometry

The structure in CIF format:
```
data_YTm2Au
_cell_length_a 4.819
_cell_length_b 11.612
_cell_length_c 7.950
_cell_angle_alpha 90.00
_cell_angle_beta 90.00
_cell_angle_gamma 90.00
_space_group_name_H-M_alt 'C m c m'
_space_group_IT_number 63
_space_group_name_Hall '-C 2c 2'
loop_
_atom_site_label
_atom_site_fract_x
_atom_site_fract_y
_atom_site_fract_z
Y1 0.000 0.047 0.250
Tm1 0.000 0.354 0.041
Au1 0.000 0.211 0.750
```

## Properties
The value obtained for the total energy is -5.10 eV per atom. The value obtained for the energy of formation is -0.434 eV per atom. The total magnetic moment is 0.0 μB per formula unit. As for the density: 9.3 Mg/m³.

---

# 3
Ac2MgAg2Pd5 | GGA-PBE | optimized geometry

The structure in CIF format:
```
data_Ac2MgAg2Pd5
_cell_length_a 10.234
_cell_length_b 10.234
_cell_length_c 4.017
_cell_angle_alpha 90.00
_cell_angle_beta 90.00
_cell_angle_gamma 90.00
_space_group_name_H-M_alt 'P 4/m b m'
_space_group_IT_number 127
_space_group_name_Hall '-P 4 2ab'
loop_
_atom_site_label
_atom_site_fract_x
_atom_site_fract_y
_atom_site_fract_z
Ac1 0.175 0.325 0.000
Mg1 0.000 0.000 0.000
Ag1 0.124 0.624 0.000
Pd1 0.000 0.500 0.500
Pd2 0.054 0.804 0.500
```

## Properties
The value obtained for the total energy is -4.65 eV per atom. The value obtained for the energy of formation is -0.507 eV per atom. The total magnetic moment is 0.0 μB per formula unit. As for the density: 9.7 Mg/m³.